This record from Alexandria describes a relaxed Pr6Ho5Tm2 crystal. The functional is PBE-GGA.

abc: 3.6254 11.6932 20.7202
angles: 90.00 90.00 90.00
Closest atoms and distances in Å follow each position.
Fractional positions:
1 Tm 0.0000 0.1647 0.7911  3 Pr 3.33-3.67, 6 Ho 3.54-3.67, 2 Tm 3.63
2 Pr 0.5000 0.1714 0.6370  2 Ho 3.34-3.47, 4 Pr 3.51-3.63, 2 Tm 3.67
3 Ho 0.5000 0.4072 0.7278  5 Pr 3.34-3.56, 4 Tm 3.54-3.61, 2 Ho 3.63
4 Ho 0.5000 0.5928 0.2722  5 Pr 3.34-3.56, 4 Tm 3.54-3.61, 2 Ho 3.63
5 Ho 0.5000 0.0000 0.5000  6 Pr 3.43-3.47, 4 Ho 3.63-3.73
6 Pr 0.0000 0.4148 0.8680  1 Tm 3.33, 6 Ho 3.43-3.50, 4 Pr 3.51-3.63
7 Pr 0.5000 0.8286 0.3630  2 Ho 3.34-3.47, 4 Pr 3.51-3.63, 2 Tm 3.67
8 Tm 0.0000 0.8353 0.2089  3 Pr 3.33-3.67, 6 Ho 3.54-3.67, 2 Tm 3.63
9 Pr 0.0000 0.5852 0.1320  1 Tm 3.33, 6 Ho 3.43-3.50, 4 Pr 3.51-3.63
10 Ho 0.5000 0.8028 0.0561  6 Pr 3.50-3.73, 3 Ho 3.63-3.73, 2 Tm 3.67
11 Pr 0.0000 0.4388 0.5810  6 Ho 3.56-3.73, 5 Pr 3.63-3.80, 1 Tm 3.74
12 Ho 0.5000 0.0928 0.2278  5 Pr 3.34-3.56, 4 Tm 3.54-3.61, 2 Ho 3.63
13 Pr 0.0000 0.9148 0.6320  1 Tm 3.33, 6 Ho 3.43-3.50, 4 Pr 3.51-3.63
14 Ho 0.5000 0.5000 0.0000  6 Pr 3.43-3.47, 4 Ho 3.63-3.73
15 Pr 0.0000 0.0612 0.0810  6 Ho 3.56-3.73, 5 Pr 3.63-3.80, 1 Tm 3.74
16 Pr 0.5000 0.6714 0.8630  2 Ho 3.34-3.47, 4 Pr 3.51-3.63, 2 Tm 3.67
17 Pr 0.0000 0.9388 0.9190  6 Ho 3.56-3.73, 5 Pr 3.63-3.80, 1 Tm 3.74
18 Ho 0.5000 0.6972 0.5561  6 Pr 3.50-3.73, 3 Ho 3.63-3.73, 2 Tm 3.67
19 Ho 0.5000 0.1972 0.9439  6 Pr 3.50-3.73, 3 Ho 3.63-3.73, 2 Tm 3.67
20 Pr 0.5000 0.3286 0.1370  2 Ho 3.34-3.47, 4 Pr 3.51-3.63, 2 Tm 3.67
21 Ho 0.5000 0.3028 0.4439  6 Pr 3.50-3.73, 3 Ho 3.63-3.73, 2 Tm 3.67
22 Pr 0.0000 0.0852 0.3680  1 Tm 3.33, 6 Ho 3.43-3.50, 4 Pr 3.51-3.63
23 Tm 0.0000 0.3353 0.2911  3 Pr 3.33-3.67, 6 Ho 3.54-3.67, 2 Tm 3.63
24 Pr 0.0000 0.5612 0.4190  6 Ho 3.56-3.73, 5 Pr 3.63-3.80, 1 Tm 3.74
25 Ho 0.5000 0.9072 0.7722  5 Pr 3.34-3.56, 4 Tm 3.54-3.61, 2 Ho 3.63
26 Tm 0.0000 0.6647 0.7089  3 Pr 3.33-3.67, 6 Ho 3.54-3.67, 2 Tm 3.63

Calculated values
calculated total energy	-118.2	eV per cell
total magnetization	0.00	μB per atom
space-group type	No. 55

***

This record from Alexandria describes a relaxed PrHo3Tm3 crystal. The functional is PBE-GGA.

abc: 8.7627 8.7627 8.7627
angles: 58.50 58.50 58.50
Closest atoms and distances in Å follow each position.
Fractional positions:
1 Tm 0.7155 0.1718 0.9350  4 Tm 3.23-3.38, 4 Ho 3.25-3.59, 1 Pr 3.49
2 Ho 0.4297 0.9363 0.2713  4 Tm 3.25-3.59, 2 Ho 3.58
3 Ho 0.2713 0.4297 0.9363  4 Tm 3.25-3.59, 2 Ho 3.58
4 Tm 0.1718 0.9350 0.7155  4 Tm 3.23-3.38, 4 Ho 3.25-3.59, 1 Pr 3.49
5 Tm 0.8282 0.0650 0.2845  4 Tm 3.23-3.38, 4 Ho 3.25-3.59, 1 Pr 3.49
6 Pr 0.6507 0.6507 0.6507  6 Tm 3.49-3.80, 6 Ho 3.67-3.75
7 Ho 0.9363 0.2713 0.4297  4 Tm 3.25-3.59, 2 Ho 3.58
8 Tm 0.9350 0.7155 0.1718  4 Tm 3.23-3.38, 4 Ho 3.25-3.59, 1 Pr 3.49
9 Tm 0.2845 0.8282 0.0650  4 Tm 3.23-3.38, 4 Ho 3.25-3.59, 1 Pr 3.49
10 Ho 0.7287 0.5703 0.0637  4 Tm 3.25-3.59, 2 Ho 3.58
11 Ho 0.5703 0.0637 0.7287  4 Tm 3.25-3.59, 2 Ho 3.58
12 Tm 0.0650 0.2845 0.8282  4 Tm 3.23-3.38, 4 Ho 3.25-3.59, 1 Pr 3.49
13 Ho 0.0637 0.7287 0.5703  4 Tm 3.25-3.59, 2 Ho 3.58
14 Pr 0.3493 0.3493 0.3493  6 Tm 3.49-3.80, 6 Ho 3.67-3.75

Calculated values
total magnetization	0.00	μB per atom
space-group type	No. 148
E above lowest polymorph	0	meV per atom

***

This record from Alexandria describes a relaxed PrHo10Tm4 crystal. The functional is PBE-GGA.

abc: 7.6202 9.3482 9.3482
angles: 80.44 65.95 65.95
Closest atoms and distances in Å follow each position.
Fractional positions:
1 Tm 0.1994 0.4004 0.2007  8 Ho 3.29-3.30
2 Ho 0.6461 0.3035 0.8986  3 Tm 3.29-3.30, 1 Pr 3.34
3 Tm 0.4001 0.7993 0.4004  8 Ho 3.29-3.30
4 Ho 0.0505 0.1014 0.3035  3 Tm 3.29-3.30, 1 Pr 3.34
5 Tm 0.8006 0.5996 0.7993  8 Ho 3.29-3.30
6 Tm 0.5999 0.2007 0.5996  8 Ho 3.29-3.30
7 Ho 0.1519 0.3035 0.8986  3 Tm 3.29-3.30, 1 Pr 3.34
8 Pr 0.0000 0.0000 0.0000  8 Ho 3.34
9 Ho 0.7500 0.5000 0.5000  4 Tm 3.30
10 Ho 0.5446 0.1014 0.3035  3 Tm 3.29-3.30, 1 Pr 3.34
11 Ho 0.9495 0.8986 0.6965  3 Tm 3.29-3.30, 1 Pr 3.34
12 Ho 0.4554 0.8986 0.6965  3 Tm 3.29-3.30, 1 Pr 3.34
13 Ho 0.8481 0.6965 0.1014  3 Tm 3.29-3.30, 1 Pr 3.34
14 Ho 0.3539 0.6965 0.1014  3 Tm 3.29-3.30, 1 Pr 3.34
15 Ho 0.2500 0.5000 0.5000  4 Tm 3.30

Calculated values
calculated total energy	-57.5	eV per cell
total magnetization	0.00	μB per atom
space-group type	No. 87

***

- Which formula does entry 1 have?
  Pr6Ho5Tm2